1.
## CaBiAu (PBE-GGA)

Data for a geometry-optimized CaBiAu structure.

Cell: 4.607 6.128 6.610 Å, 73.23 73.24 69.53°
Space group P-1 (No. 2)
Asymmetric unit:
Ca1 0.068 0.204 0.169
Bi1 0.285 0.244 0.604
Au1 0.379 0.617 0.169

Summary:
**E_form**: -0.610 eV/atom
**Size of the total moment**: 0.000 μB per atom
**V**: 27.3 Å³ per atom
**Energy**: -3.66 eV per atom

=====

2.
## CdBr3F (PBE-GGA)

Data for a geometry-optimized CdBr3F structure.

Cell: 5.449 5.449 5.449 Å, 90.00 90.00 90.00°
Space group Pm-3m (No. 221)
Asymmetric unit:
Cd1 0.000 0.000 0.000
Br1 0.000 0.000 0.500
F1 0.500 0.500 0.500

Summary:
**Formation energy (no corrections)**: -31.9 kJ/mol of formula units
**Size of the total moment**: 0.000 μB per atom
**V**: 32.4 Å³ per atom
**Energy**: -1.63 eV per atom

=====

3.
## LiCa3Tm2Se6 (PBE-GGA)

Data for a geometry-optimized LiCa3Tm2Se6 structure.

Cell: 7.099 12.288 7.125 Å, 90.00 109.41 90.00°
Space group C2/m (No. 12)
Asymmetric unit:
Li1 0.000 0.000 0.000
Ca1 0.000 0.166 0.500
Ca2 0.000 0.500 0.500
Tm1 0.000 0.333 0.000
Se1 0.245 0.500 0.237
Se2 0.246 0.167 0.238

Summary:
**Formation energy (no corrections)**: -2138.8 kJ/mol of formula units
**Size of the total moment**: 0.000 μB per atom
**V**: 24.4 Å³ per atom
**Energy**: -4.99 eV per atom

=====

4.
## NaLa2PaSe6 (PBE-GGA)

Data for a geometry-optimized NaLa2PaSe6 structure.

Cell: 7.4942 7.4942 19.7205 Å, 90.00 90.00 120.00°
Space group R3 (No. 146, hexagonal axes)
Asymmetric unit:
Na1 0.0000 0.0000 0.0000
La1 0.0000 0.0000 0.2840
La2 0.0000 0.0000 0.7951
Pa1 0.0000 0.0000 0.4856
Se1 0.0036 0.7158 0.3953
Se2 0.0403 0.3347 0.5599

Summary:
**Formation energy (no corrections)**: -1587.3 kJ/mol of formula units
**Size of the total moment**: 0.000 μB per atom
**V**: 32.0 Å³ per atom
**Energy**: -5.80 eV per atom

=====

5.
## Tb2NdHo5Sc (PBE-GGA)

Data for a geometry-optimized Tb2NdHo5Sc structure.

Cell: 5.560 19.656 10.375 Å, 90.00 90.00 90.00°
Space group Cmc2_1 (No. 36)
Asymmetric unit:
Tb1 0.000 0.112 0.000
Tb2 0.000 0.114 0.420
Nd1 0.000 0.413 0.140
Ho1 0.000 0.019 0.705
Ho2 0.000 0.277 0.007
Ho3 0.000 0.298 0.391
Ho4 0.000 0.376 0.705
Ho5 0.000 0.481 0.424
Sc1 0.000 0.197 0.699

Summary:
**E_form**: 0.170 eV/atom
**Size of the total moment**: 0.000 μB per atom
**V**: 31.5 Å³ per atom
**Energy**: -4.64 eV per atom

=====

6.
## PPb (PBE-GGA)

Data for a geometry-optimized PPb structure.

Cell: 10.102 3.287 7.103 Å, 90.00 112.23 90.00°
Space group C2/m (No. 12)
Asymmetric unit:
P1 0.179 0.000 0.002
Pb1 0.090 0.000 0.343

Summary:
**E_form**: 0.042 eV/atom
**Size of the total moment**: 0.000 μB per atom
**V**: 27.3 Å³ per atom
**Energy**: -4.52 eV per atom